Record 1
La2TbPmDy2: relaxed, PBE.

It has space group Pmc2_1 (No. 26), with a = 5.749 Å, b = 9.973 Å, c = 7.098 Å, α = 90.00°, β = 90.00° and γ = 90.00°. The inequivalent atoms are La at (0.000, 0.001, 0.000), La at (0.500, 0.170, 0.250), Tb at (0.000, 0.337, 0.749), Pm at (0.500, 0.500, 0.000), Dy at (0.000, 0.334, 0.250) and Dy at (0.500, 0.167, 0.750).

For the calculated volume, the calculation gives 33.9 Å³ per atom. The calculation puts the energy of formation at 67 meV/atom.

Record 2
ScZnBr3: relaxed, PBE.

It has space group Pm-3m (No. 221), with a = 5.340 Å, b = 5.340 Å, c = 5.340 Å, α = 90.00°, β = 90.00° and γ = 90.00°. The inequivalent atoms are Sc at (0.000, 0.000, 0.000), Zn at (0.500, 0.500, 0.500) and Br at (0.000, 0.000, 0.500).

For the calculated volume, the calculation gives 30.5 Å³ per atom. The calculation puts the uncorrected formation energy at -1004 meV/atom.

Record 3
KPa2SnO8: relaxed, PBE.

It has space group Cmmm (No. 65), with a = 7.085 Å, b = 7.383 Å, c = 7.205 Å, α = 90.00°, β = 90.00° and γ = 90.00°. The inequivalent atoms are K at (0.000, 0.000, 0.000), Pa at (0.000, 0.500, 0.249), Sn at (0.000, 0.000, 0.500), O at (0.000, 0.301, 0.500), O at (0.000, 0.334, 0.000) and O at (0.206, 0.000, 0.296).

For the calculated volume, the calculation gives 15.7 Å³ per atom. The calculation puts the uncorrected formation energy at -2574 meV/atom.

Record 4
Be2ReBPb: relaxed, PBE.

It has space group P4/mmm (No. 123), with a = 3.997 Å, b = 3.997 Å, c = 4.223 Å, α = 90.00°, β = 90.00° and γ = 90.00°. The inequivalent atoms are Be at (0.000, 0.500, 0.000), Re at (0.000, 0.000, 0.500), B at (0.000, 0.000, 0.000) and Pb at (0.500, 0.500, 0.500).

For the calculated volume, the calculation gives 13.5 Å³ per atom. The calculation puts the energy of formation at 630 meV/atom.

Record 5
TmAgSO: relaxed, PBE.

It has space group R-3m (No. 166, hexagonal axes), with a = 3.8678 Å, b = 3.8678 Å, c = 31.8699 Å, α = 90.00°, β = 90.00° and γ = 120.00°. The inequivalent atoms are Tm at (0.0000, 0.0000, 0.1235), Ag at (0.0000, 0.0000, 0.3057), S at (0.0000, 0.0000, 0.4010) and O at (0.0000, 0.0000, 0.1928).

For the calculated volume, the calculation gives 17.2 Å³ per atom. The calculation puts the uncorrected formation energy at -1954 meV/atom.

Record 6
HfMgNb2N4: relaxed, PBE.

It has space group P2/m (No. 10), with a = 5.360 Å, b = 3.115 Å, c = 5.545 Å, α = 90.00°, β = 108.69° and γ = 90.00°. The inequivalent atoms are Hf at (0.000, 0.000, 0.000), Mg at (0.500, 0.500, 0.000), Nb at (0.000, 0.500, 0.500), Nb at (0.500, 0.000, 0.500), N at (0.252, 0.000, 0.755) and N at (0.252, 0.500, 0.241).

For the calculated volume, the calculation gives 11.0 Å³ per atom. The calculation puts the uncorrected formation energy at -1225 meV/atom.

Record 7
InSnGe2O8: relaxed, PBE.

It has space group I-4m2 (No. 119), with a = 6.789 Å, b = 6.789 Å, c = 6.439 Å, α = 90.00°, β = 90.00° and γ = 90.00°. The inequivalent atoms are In at (0.000, 0.000, 0.000), Sn at (0.000, 0.500, 0.750), Ge at (0.000, 0.000, 0.500), Ge at (0.000, 0.500, 0.250), O at (0.000, 0.192, 0.686) and O at (0.000, 0.316, 0.055).

For the calculated volume, the calculation gives 12.4 Å³ per atom. The calculation puts the uncorrected formation energy at -1326 meV/atom.

Record 8
YZrGa2Sn: relaxed, PBE.

It has space group P4/mmm (No. 123), with a = 5.136 Å, b = 5.136 Å, c = 5.637 Å, α = 90.00°, β = 90.00° and γ = 90.00°. The inequivalent atoms are Y at (0.000, 0.000, 0.000), Zr at (0.500, 0.500, 0.000), Ga at (0.000, 0.500, 0.500) and Sn at (0.000, 0.000, 0.500).

For the calculated volume, the calculation gives 29.7 Å³ per atom. The calculation puts the energy of formation at 742 meV/atom.

Record 9
Pr3ZnCd2: relaxed, PBE.

It has space group P4/mmm (No. 123), with a = 3.790 Å, b = 3.790 Å, c = 11.692 Å, α = 90.00°, β = 90.00° and γ = 90.00°. The inequivalent atoms are Pr at (0.000, 0.000, 0.000), Pr at (0.000, 0.000, 0.350), Zn at (0.500, 0.500, 0.500) and Cd at (0.500, 0.500, 0.174).

For the calculated volume, the calculation gives 28.0 Å³ per atom. The calculation puts the energy of formation at -314 meV/atom.

Record 10
Y2Tc: relaxed, PBE.

It has space group P-3m1 (No. 164), with a = 4.7694 Å, b = 4.7694 Å, c = 3.5856 Å, α = 90.00°, β = 90.00° and γ = 120.00°. The inequivalent atoms are Y at (0.3333, 0.6667, 0.2663) and Tc at (0.0000, 0.0000, 0.0000).

For the calculated volume, the calculation gives 23.5 Å³ per atom. The calculation puts the energy of formation at 168 meV/atom.

Record 11
RbCuSb3: relaxed, PBE.

It has space group Pm (No. 6), with a = 6.185 Å, b = 6.436 Å, c = 8.774 Å, α = 90.00°, β = 90.67° and γ = 90.00°. The inequivalent atoms are Rb at (0.000, 0.000, 0.000), Rb at (0.492, 0.500, 0.296), Cu at (0.375, 0.000, 0.553), Cu at (0.875, 0.500, 0.732), Sb at (0.035, 0.245, 0.518), Sb at (0.209, 0.500, 0.917), Sb at (0.539, 0.253, 0.769) and Sb at (0.701, 0.000, 0.366).

For the calculated volume, the calculation gives 34.9 Å³ per atom. The calculation puts the uncorrected formation energy at -75 meV/atom.

Record 12
ErSc2OsO8: relaxed, PBE.

It has space group Cmmm (No. 65), with a = 6.862 Å, b = 6.874 Å, c = 6.491 Å, α = 90.00°, β = 90.00° and γ = 90.00°. The inequivalent atoms are Er at (0.000, 0.000, 0.000), Sc at (0.000, 0.500, 0.240), Os at (0.000, 0.000, 0.500), O at (0.000, 0.274, 0.500), O at (0.000, 0.315, 0.000) and O at (0.193, 0.000, 0.286).

For the calculated volume, the calculation gives 12.8 Å³ per atom. The calculation puts the uncorrected formation energy at -2530 meV/atom.

Record 13
BeTl2Te: relaxed, PBE.

It has space group I-42d (No. 122), with a = 6.528 Å, b = 6.528 Å, c = 11.991 Å, α = 90.00°, β = 90.00° and γ = 90.00°. The inequivalent atoms are Be at (0.000, 0.000, 0.000), Tl at (0.178, 0.250, 0.125) and Te at (0.000, 0.000, 0.500).

For the calculated volume, the calculation gives 31.9 Å³ per atom. The calculation puts the uncorrected formation energy at 341 meV/atom.